DFT (PBE) results for crystalline SrLa2Te at its relaxed geometry.

Properties
The total DFT energy (no corrections) is -16.486 eV per formula unit. The symmetry is P4/mmm (123). Its formation energy (no corrections) is -452 meV per atom.

a = 5.6170 Å, b = 5.6170 Å, c = 4.2953 Å
α = 90.00°, β = 90.00°, γ = 90.00°
Last column: nearest neighbours and their distance in Å.
Fractional coordinates of all 4 atoms:
La1 0.0000 0.0000 0.0000  4 Te 3.54, 4 Sr 3.54
La2 0.5000 0.5000 0.0000  4 Te 3.54, 4 Sr 3.54
Sr1 0.5000 0.0000 0.5000  8 La 3.54
Te1 0.0000 0.5000 0.5000  8 La 3.54